(1)
A plane-wave DFT calculation with PBE-GGA was carried out for crystalline CsNaTlBi at its relaxed geometry.

Raw total energy: -0.1711 Ry per atom
Spin magnetization: 0.0 μB per formula unit
Symmetry: F-43m (216)

Unit cell a=5.938 b=5.938 c=5.938 alpha=60.00 beta=60.00 gamma=60.00
Fractional positions:
Cs  0.000  0.000  0.000
Na  0.250  0.250  0.250
Tl  0.750  0.750  0.750
Bi  0.500  0.500  0.500

(2)
A plane-wave DFT calculation with PBE-GGA was carried out for crystalline Cs2NaTmBi2 at its relaxed geometry.

Raw total energy: -0.2291 Ry per atom
Spin magnetization: 0.0 μB per formula unit
Symmetry: Ibam (72)

Unit cell a=10.514 b=10.514 c=10.514 alpha=136.79 beta=62.42 gamma=137.24
Fractional positions:
Cs  0.177  0.219  0.396
Cs  0.323  0.719  0.043
Cs  0.677  0.281  0.957
Cs  0.823  0.781  0.604
Na  0.250  0.250  0.000
Na  0.750  0.750  0.000
Tm  0.250  0.750  0.500
Tm  0.750  0.250  0.500
Bi  0.095  0.723  0.818
Bi  0.405  0.223  0.628
Bi  0.595  0.777  0.372
Bi  0.905  0.277  0.182